Zr2Sc2Co PBE optimized geometry; ΔE to the lowest computed polymorph = 107.4 meV per atom; SG = P4/mbm; ΔE_f = 4.2 kJ per mole of atoms; crystal system = tetragonal; VASP energy = -7.33 eV per atom; magnetization = 0.00 μB per formula unit
1.0
6.518 0.000 0.000
0.000 6.518 0.000
0.000 0.000 5.049
Zr Sc Co
4 4 2
Direct
0.154 0.346 0.000
0.346 0.846 0.000
0.654 0.154 0.000
0.846 0.654 0.000
0.164 0.664 0.500
0.336 0.164 0.500
0.664 0.836 0.500
0.836 0.336 0.500
0.000 0.000 0.000
0.500 0.500 0.000